1.
Computed, not measured: crystalline Hf2BeInC at its relaxed geometry at the PBE level of DFT.

Total energy = -36.67 eV/cell
M_tot = 0.000 Bohr magnetons per cell
DOS at the Fermi energy = 0.742 states/eV/atom

a = 4.626 Å, b = 4.626 Å, c = 3.689 Å
α = 90.00°, β = 90.00°, γ = 90.00°
Space group P4/mmm (No. 123)
Inequivalent atoms, fractional coordinates:
Hf  0.000  0.500  0.000 [2 per cell]
Be  0.000  0.000  0.500 [1 per cell]
In  0.500  0.500  0.500 [1 per cell]
C  0.000  0.000  0.000 [1 per cell]



2.
Computed, not measured: crystalline Hf2BeIrC at its relaxed geometry at the PBE level of DFT.

Total energy = -44.89 eV/cell
M_tot = 0.000 Bohr magnetons per cell
DOS at the Fermi energy = 0.643 states/eV/atom

a = 4.567 Å, b = 4.567 Å, c = 3.417 Å
α = 90.00°, β = 90.00°, γ = 90.00°
Space group P4/mmm (No. 123)
Inequivalent atoms, fractional coordinates:
Hf  0.000  0.500  0.000 [2 per cell]
Be  0.000  0.000  0.500 [1 per cell]
Ir  0.500  0.500  0.500 [1 per cell]
C  0.000  0.000  0.000 [1 per cell]



3.
Computed, not measured: crystalline HfBe2NiC at its relaxed geometry at the PBE level of DFT.

Total energy = -29.93 eV/cell
M_tot = 0.000 Bohr magnetons per cell
DOS at the Fermi energy = 0.459 states/eV/atom

a = 3.899 Å, b = 3.899 Å, c = 3.711 Å
α = 90.00°, β = 90.00°, γ = 90.00°
Space group P4/mmm (No. 123)
Inequivalent atoms, fractional coordinates:
Hf  0.000  0.000  0.000 [1 per cell]
Be  0.000  0.500  0.500 [2 per cell]
Ni  0.500  0.500  0.500 [1 per cell]
C  0.500  0.500  0.000 [1 per cell]



4.
Computed, not measured: crystalline HfBeOsC2 at its relaxed geometry at the PBE level of DFT.

Total energy = -31.05 eV/cell
M_tot = 0.494 Bohr magnetons per cell
DOS at the Fermi energy = 0.512 states/eV/atom

a = 4.135 Å, b = 4.135 Å, c = 5.125 Å
α = 90.00°, β = 90.00°, γ = 90.00°
Space group P4/mmm (No. 123)
Inequivalent atoms, fractional coordinates:
Hf  0.000  0.000  0.000 [1 per cell]
Be  0.500  0.500  0.500 [1 per cell]
Os  0.000  0.000  0.500 [1 per cell]
C  0.000  0.500  0.000 [2 per cell]



5.
Computed, not measured: crystalline Hf2BePbC at its relaxed geometry at the PBE level of DFT.

Total energy = -29.38 eV/cell
M_tot = 0.000 Bohr magnetons per cell
DOS at the Fermi energy = 0.504 states/eV/atom

a = 4.691 Å, b = 4.691 Å, c = 4.292 Å
α = 90.00°, β = 90.00°, γ = 90.00°
Space group P4/mmm (No. 123)
Inequivalent atoms, fractional coordinates:
Hf  0.000  0.500  0.000 [2 per cell]
Be  0.000  0.000  0.000 [1 per cell]
Pb  0.000  0.000  0.500 [1 per cell]
C  0.500  0.500  0.500 [1 per cell]



6.
Computed, not measured: crystalline Hf2BePdC at its relaxed geometry at the PBE level of DFT.

Total energy = -40.74 eV/cell
M_tot = 0.000 Bohr magnetons per cell
DOS at the Fermi energy = 0.407 states/eV/atom

a = 4.579 Å, b = 4.579 Å, c = 3.456 Å
α = 90.00°, β = 90.00°, γ = 90.00°
Space group P4/mmm (No. 123)
Inequivalent atoms, fractional coordinates:
Hf  0.000  0.500  0.000 [2 per cell]
Be  0.000  0.000  0.500 [1 per cell]
Pd  0.500  0.500  0.500 [1 per cell]
C  0.000  0.000  0.000 [1 per cell]



7.
Computed, not measured: crystalline Hf2BePtC at its relaxed geometry at the PBE level of DFT.

Total energy = -42.47 eV/cell
M_tot = 0.000 Bohr magnetons per cell
DOS at the Fermi energy = 0.438 states/eV/atom

a = 4.570 Å, b = 4.570 Å, c = 3.475 Å
α = 90.00°, β = 90.00°, γ = 90.00°
Space group P4/mmm (No. 123)
Inequivalent atoms, fractional coordinates:
Hf  0.000  0.500  0.000 [2 per cell]
Be  0.000  0.000  0.500 [1 per cell]
Pt  0.500  0.500  0.500 [1 per cell]
C  0.000  0.000  0.000 [1 per cell]



8.
Computed, not measured: crystalline HfBeSb2C at its relaxed geometry at the PBE level of DFT.

M_tot = 0.000 Bohr magnetons per cell
Formation energy (no corrections) = 1.297 eV/atom
DOS at the Fermi energy = 0.765 states/eV/atom

a = 5.542 Å, b = 5.542 Å, c = 4.205 Å
α = 90.00°, β = 90.00°, γ = 90.00°
Space group P4/mmm (No. 123)
Inequivalent atoms, fractional coordinates:
Hf  0.000  0.000  0.000 [1 per cell]
Be  0.500  0.500  0.500 [1 per cell]
Sb  0.000  0.500  0.000 [2 per cell]
C  0.000  0.000  0.500 [1 per cell]



9.
Computed, not measured: crystalline BeHgC at its relaxed geometry at the PBE level of DFT.

Total energy = -46.63 eV/cell
M_tot = 0.000 Bohr magnetons per cell
DOS at the Fermi energy = 0.139 states/eV/atom

a = 9.826 Å, b = 4.499 Å, c = 4.779 Å
α = 90.00°, β = 97.81°, γ = 90.00°
Space group Cm (No. 8)
Inequivalent atoms, fractional coordinates:
Be  0.000  0.000  0.000 [2 per cell]
Be  0.239  0.500  0.892 [2 per cell]
Hg  0.284  0.000  0.744 [2 per cell]
Hg  0.358  0.500  0.389 [2 per cell]
C  0.066  0.358  0.980 [4 per cell]



10.
Computed, not measured: crystalline BeHgC at its relaxed geometry at the PBE level of DFT.

Total energy = -23.19 eV/cell
M_tot = 0.000 Bohr magnetons per cell
DOS at the Fermi energy = 0.096 states/eV/atom

a = 4.749 Å, b = 4.749 Å, c = 6.530 Å
α = 89.87°, β = 88.94°, γ = 90.00°
Space group P-1 (No. 2)
Inequivalent atoms, fractional coordinates:
Be  0.004  0.000  0.346 [2 per cell]
Hg  0.000  0.500  0.500 [1 per cell]
Hg  0.500  0.000  0.500 [1 per cell]
C  0.001  0.001  0.095 [2 per cell]



11.
Computed, not measured: crystalline BeHg2C at its relaxed geometry at the PBE level of DFT.

Energy above the lowest structure with this stoichiometry = 56 kJ/mol of formula units
M_tot = 0.000 Bohr magnetons per cell
DOS at the Fermi energy = 0.228 states/eV/atom

a = 6.261 Å, b = 6.261 Å, c = 6.261 Å
α = 90.00°, β = 90.00°, γ = 90.00°
Space group Fm-3m (No. 225)
Inequivalent atoms, fractional coordinates:
Be  0.000  0.000  0.000 [4 per cell]
Hg  0.250  0.250  0.250 [8 per cell]
C  0.000  0.000  0.500 [4 per cell]



12.
Computed, not measured: crystalline BeHg2C at its relaxed geometry at the PBE level of DFT.

Energy above the lowest structure with this stoichiometry = 0 kJ/mol of formula units
M_tot = 0.000 Bohr magnetons per cell
DOS at the Fermi energy = 0.343 states/eV/atom

a = 5.180 Å, b = 5.180 Å, c = 11.648 Å
α = 90.00°, β = 90.00°, γ = 90.00°
Space group I-42d (No. 122)
Inequivalent atoms, fractional coordinates:
Be  0.000  0.000  0.000 [4 per cell]
Hg  0.203  0.250  0.625 [8 per cell]
C  0.000  0.000  0.500 [4 per cell]



13.
Computed, not measured: crystalline Be2HgC2 at its relaxed geometry at the PBE level of DFT.

Energy above the lowest structure with this stoichiometry = 0 kJ/mol of formula units
M_tot = 0.000 Bohr magnetons per cell
DOS at the Fermi energy = 0.196 states/eV/atom

a = 2.779 Å, b = 2.779 Å, c = 13.760 Å
α = 90.00°, β = 90.00°, γ = 90.00°
Space group I4/mmm (No. 139)
Inequivalent atoms, fractional coordinates:
Be  0.000  0.000  0.163 [4 per cell]
Hg  0.000  0.000  0.500 [2 per cell]
C  0.000  0.500  0.250 [4 per cell]



14.
Computed, not measured: crystalline BeHgC3 at its relaxed geometry at the PBE level of DFT.

Energy above the lowest structure with this stoichiometry = 621 kJ/mol of formula units
M_tot = 0.486 Bohr magnetons per cell
DOS at the Fermi energy = 0.758 states/eV/atom

a = 4.298 Å, b = 4.298 Å, c = 4.298 Å
α = 90.00°, β = 90.00°, γ = 90.00°
Space group Pm-3m (No. 221)
Inequivalent atoms, fractional coordinates:
Be  0.000  0.000  0.000 [1 per cell]
Hg  0.500  0.500  0.500 [1 per cell]
C  0.000  0.500  0.500 [3 per cell]